[1]
The following is a PBE-GGA calculation of a geometry-optimized Fe3SbN structure, from OQMD. Values from VASP.

Geometry as Quantum ESPRESSO input:
```
&SYSTEM
  ibrav = 0, nat = 5, ntyp = 3
/
ATOMIC_SPECIES
Fe 55.84 Fe.upf
Sb 121.76 Sb.upf
N 14.01 N.upf
CELL_PARAMETERS angstrom
3.9232 0.0000 0.0000
0.0000 3.9232 0.0000
0.0000 0.0000 3.9232
ATOMIC_POSITIONS crystal
Fe 0.0000 0.0000 0.5000
Fe 0.0000 0.5000 0.0000
Fe 0.5000 0.0000 0.0000
Sb 0.5000 0.5000 0.5000
N 0.0000 0.0000 0.0000
```

[2]
The following is a PBE-GGA calculation of a geometry-optimized NaErZnTe3 structure, from OQMD. Values from VASP.

Geometry as Quantum ESPRESSO input:
```
&SYSTEM
  ibrav = 0, nat = 12, ntyp = 4
/
ATOMIC_SPECIES
Na 22.99 Na.upf
Er 167.26 Er.upf
Zn 65.41 Zn.upf
Te 127.60 Te.upf
CELL_PARAMETERS angstrom
2.1395 -7.3782 0.0000
2.1395 7.3782 0.0000
0.0000 0.0000 11.5236
ATOMIC_POSITIONS crystal
Na 0.2363 0.7637 0.7500
Na 0.7637 0.2363 0.2500
Er 0.0000 0.0000 0.0000
Er 0.0000 0.0000 0.5000
Zn 0.4688 0.5312 0.2500
Zn 0.5312 0.4688 0.7500
Te 0.0833 0.9167 0.2500
Te 0.3614 0.6386 0.0652
Te 0.3614 0.6386 0.4348
Te 0.6386 0.3614 0.5652
Te 0.6386 0.3614 0.9348
Te 0.9167 0.0833 0.7500
```

Computed properties:
Energy above the lowest structure with this stoichiometry ... 0.0 kJ per mole of atoms

[3]
The following is a PBE-GGA calculation of a geometry-optimized Hf3Sc3FeTe2 structure, from OQMD. Values from VASP.

Geometry as Quantum ESPRESSO input:
```
&SYSTEM
  ibrav = 0, nat = 9, ntyp = 4
/
ATOMIC_SPECIES
Hf 178.49 Hf.upf
Sc 44.96 Sc.upf
Fe 55.84 Fe.upf
Te 127.60 Te.upf
CELL_PARAMETERS angstrom
7.7803 0.0000 0.0000
-3.8901 6.7379 0.0000
0.0000 0.0000 3.6187
ATOMIC_POSITIONS crystal
Hf 0.0000 0.7653 0.0000
Hf 0.2347 0.2347 0.0000
Hf 0.7653 0.0000 0.0000
Sc 0.0000 0.3961 0.5000
Sc 0.3961 0.0000 0.5000
Sc 0.6039 0.6039 0.5000
Fe 0.0000 0.0000 0.5000
Te 0.3333 0.6667 0.0000
Te 0.6667 0.3333 0.0000
```

Computed properties:
Energy above the lowest structure with this stoichiometry ... 0.0 kJ per mole of atoms

[4]
The following is a PBE-GGA calculation of a geometry-optimized HoOsO4 structure, from OQMD. Values from VASP.

Geometry as Quantum ESPRESSO input:
```
&SYSTEM
  ibrav = 0, nat = 12, ntyp = 3
/
ATOMIC_SPECIES
Ho 164.93 Ho.upf
Os 190.23 Os.upf
O 16.00 O.upf
CELL_PARAMETERS angstrom
5.0062 0.0000 0.0000
0.0000 5.4099 0.0000
-0.6829 0.0000 5.2380
ATOMIC_POSITIONS crystal
Ho 0.0000 0.2247 0.2500
Ho 0.0000 0.7753 0.7500
Os 0.5000 0.3184 0.7500
Os 0.5000 0.6816 0.2500
O 0.2459 0.0808 0.6066
O 0.2459 0.9192 0.1066
O 0.2689 0.4407 0.9896
O 0.2689 0.5593 0.4896
O 0.7311 0.4407 0.5104
O 0.7311 0.5593 0.0104
O 0.7541 0.0808 0.8934
O 0.7541 0.9192 0.3934
```

[5]
The following is a PBE-GGA calculation of a geometry-optimized NaBiPdSe3 structure, from OQMD. Values from VASP.

Geometry as Quantum ESPRESSO input:
```
&SYSTEM
  ibrav = 0, nat = 12, ntyp = 4
/
ATOMIC_SPECIES
Na 22.99 Na.upf
Bi 208.98 Bi.upf
Pd 106.42 Pd.upf
Se 78.96 Se.upf
CELL_PARAMETERS angstrom
8.3662 0.0000 0.0000
0.0000 4.1291 0.0000
-1.9793 0.0000 9.3075
ATOMIC_POSITIONS crystal
Na 0.1906 0.2500 0.2266
Na 0.8094 0.7500 0.7734
Bi 0.3197 0.7500 0.8599
Bi 0.6803 0.2500 0.1401
Pd 0.1028 0.2500 0.5979
Pd 0.8972 0.7500 0.4021
Se 0.0738 0.2500 0.8664
Se 0.2015 0.7500 0.4974
Se 0.4263 0.7500 0.1602
Se 0.5737 0.2500 0.8398
Se 0.7985 0.2500 0.5026
Se 0.9262 0.7500 0.1336
```

[6]
The following is a PBE-GGA calculation of a geometry-optimized Ac2Ho2O5 structure, from OQMD. Values from VASP.

Geometry as Quantum ESPRESSO input:
```
&SYSTEM
  ibrav = 0, nat = 9, ntyp = 3
/
ATOMIC_SPECIES
Ac 227.00 Ac.upf
Ho 164.93 Ho.upf
O 16.00 O.upf
CELL_PARAMETERS angstrom
4.3522 0.0000 0.0000
0.0000 4.3522 0.0000
0.0000 0.0000 8.1055
ATOMIC_POSITIONS crystal
Ac 0.0000 0.0000 0.0000
Ac 0.0000 0.0000 0.5000
Ho 0.5000 0.5000 0.2372
Ho 0.5000 0.5000 0.7628
O 0.0000 0.5000 0.2500
O 0.0000 0.5000 0.7500
O 0.5000 0.0000 0.2500
O 0.5000 0.0000 0.7500
O 0.5000 0.5000 0.5000
```

Computed properties:
Energy above the lowest structure with this stoichiometry ... 0.0 kJ per mole of atoms

[7]
The following is a PBE-GGA calculation of a geometry-optimized AcCdFe structure, from OQMD. Values from VASP.

Geometry as Quantum ESPRESSO input:
```
&SYSTEM
  ibrav = 0, nat = 3, ntyp = 3
/
ATOMIC_SPECIES
Ac 227.00 Ac.upf
Cd 112.41 Cd.upf
Fe 55.84 Fe.upf
CELL_PARAMETERS angstrom
0.0000 3.4326 3.4326
3.4326 0.0000 3.4326
3.4326 3.4326 0.0000
ATOMIC_POSITIONS crystal
Ac 0.0000 0.0000 0.0000
Cd 0.5000 0.5000 0.5000
Fe 0.2500 0.2500 0.2500
```

Computed properties:
Energy relative to the elements ... 0.36 eV/atom
Energy above the lowest structure with this stoichiometry ... 0.0 kJ per mole of atoms

[8]
The following is a PBE-GGA calculation of a geometry-optimized Hf4Zr2Co3C3 structure, from OQMD. Values from VASP.

Geometry as Quantum ESPRESSO input:
```
&SYSTEM
  ibrav = 0, nat = 24, ntyp = 4
/
ATOMIC_SPECIES
Hf 178.49 Hf.upf
Zr 91.22 Zr.upf
Co 58.93 Co.upf
C 12.01 C.upf
CELL_PARAMETERS angstrom
4.8307 -2.7867 0.0000
4.8307 2.7867 0.0000
-3.2493 0.0000 13.2541
ATOMIC_POSITIONS crystal
Hf 0.0296 0.2009 0.0955
Hf 0.1359 0.3017 0.4046
Hf 0.2009 0.0296 0.5955
Hf 0.3017 0.1359 0.9046
Hf 0.6983 0.8641 0.0954
Hf 0.7991 0.9704 0.4045
Hf 0.8641 0.6983 0.5954
Hf 0.9704 0.7991 0.9045
Zr 0.3722 0.5377 0.1111
Zr 0.4623 0.6278 0.3889
Zr 0.5377 0.3722 0.6111
Zr 0.6278 0.4623 0.8889
Co 0.0750 0.9250 0.7500
Co 0.0969 0.4155 0.7502
Co 0.4155 0.0969 0.2502
Co 0.5845 0.9031 0.7498
Co 0.9031 0.5845 0.2498
Co 0.9250 0.0750 0.2500
C 0.0000 0.5000 0.0000
C 0.1723 0.6638 0.5000
C 0.3362 0.8277 0.0000
C 0.5000 0.0000 0.5000
C 0.6638 0.1723 0.0000
C 0.8277 0.3362 0.5000
```

[9]
The following is a PBE-GGA calculation of a geometry-optimized YPd6Au5 structure, from OQMD. Values from VASP.

Geometry as Quantum ESPRESSO input:
```
&SYSTEM
  ibrav = 0, nat = 12, ntyp = 3
/
ATOMIC_SPECIES
Y 88.91 Y.upf
Pd 106.42 Pd.upf
Au 196.97 Au.upf
CELL_PARAMETERS angstrom
2.1127 -6.2485 0.0000
2.1127 6.2485 0.0000
-0.0197 0.0000 7.7975
ATOMIC_POSITIONS crystal
Y 0.0000 0.0000 0.0000
Pd 0.1682 0.8315 0.2536
Pd 0.1685 0.8318 0.7464
Pd 0.4995 0.4995 0.7487
Pd 0.5005 0.5005 0.2513
Pd 0.8315 0.1682 0.2536
Pd 0.8318 0.1685 0.7464
Au 0.0000 0.0000 0.5000
Au 0.3306 0.6694 0.0000
Au 0.3361 0.6639 0.5000
Au 0.6639 0.3361 0.5000
Au 0.6694 0.3306 0.0000
```

Computed properties:
Energy relative to the elements ... -0.37 eV/atom

[10]
The following is a PBE-GGA calculation of a geometry-optimized Hf3Mo3AsP2 structure, from OQMD. Values from VASP.

Geometry as Quantum ESPRESSO input:
```
&SYSTEM
  ibrav = 0, nat = 9, ntyp = 4
/
ATOMIC_SPECIES
Hf 178.49 Hf.upf
Mo 95.94 Mo.upf
As 74.92 As.upf
P 30.97 P.upf
CELL_PARAMETERS angstrom
6.9770 0.0000 0.0000
-3.4885 6.0422 0.0000
0.0000 0.0000 3.4674
ATOMIC_POSITIONS crystal
Hf 0.0000 0.5923 0.0000
Hf 0.4077 0.4077 0.0000
Hf 0.5923 0.0000 0.0000
Mo 0.0000 0.2608 0.5000
Mo 0.2608 0.0000 0.5000
Mo 0.7392 0.7392 0.5000
As 0.0000 0.0000 0.0000
P 0.3333 0.6667 0.5000
P 0.6667 0.3333 0.5000
```

[11]
The following is a PBE-GGA calculation of a geometry-optimized MgTaSiTc structure, from OQMD. Values from VASP.

Geometry as Quantum ESPRESSO input:
```
&SYSTEM
  ibrav = 0, nat = 4, ntyp = 4
/
ATOMIC_SPECIES
Mg 24.30 Mg.upf
Ta 180.95 Ta.upf
Si 28.09 Si.upf
Tc 98.00 Tc.upf
CELL_PARAMETERS angstrom
0.0000 3.1288 3.1288
3.1288 0.0000 3.1288
3.1288 3.1288 0.0000
ATOMIC_POSITIONS crystal
Mg 0.0000 0.0000 0.0000
Ta 0.7500 0.7500 0.7500
Si 0.5000 0.5000 0.5000
Tc 0.2500 0.2500 0.2500
```

Computed properties:
Energy above the lowest structure with this stoichiometry ... 32.2 kJ per mole of atoms

[12]
The following is a PBE-GGA calculation of a geometry-optimized GdGa6Cu structure, from OQMD. Values from VASP.

Geometry as Quantum ESPRESSO input:
```
&SYSTEM
  ibrav = 0, nat = 8, ntyp = 3
/
ATOMIC_SPECIES
Gd 157.25 Gd.upf
Ga 69.72 Ga.upf
Cu 63.55 Cu.upf
CELL_PARAMETERS angstrom
6.3248 0.0000 0.0000
-3.1624 5.4774 0.0000
0.0000 0.0000 4.2689
ATOMIC_POSITIONS crystal
Gd 0.0000 0.0000 0.0000
Ga 0.0375 0.5187 0.0000
Ga 0.3799 0.1900 0.5000
Ga 0.4813 0.5187 0.0000
Ga 0.4813 0.9625 0.0000
Ga 0.8100 0.1900 0.5000
Ga 0.8100 0.6201 0.5000
Cu 0.3333 0.6667 0.5000
```

Record order is preserved below.
Volume: 60.4, 363.8, 189.7, 141.9, 321.5, 153.5, 80.9, 356.8, 205.9, 146.2, 61.3, 147.9 Å³/cell
Record order is preserved below.
Final energy: -37.16, -44.89, -68.65, -95.03, -47.40, -68.74, -12.22, -223.03, -58.27, -85.24, -28.48, -27.94 eV for the cell shown